RbHgBiS3 | PBE | optimized geometry

abc: 9.2418 4.2154 10.0544
angles: 90.00 103.24 90.00
With the nearest neighbours (Å) after each atom.
Fractional positions:
Rb (0.1802, 0.2500, 0.2267)  7 S 3.44-3.61
Rb (0.8198, 0.7500, 0.7733)  7 S 3.44-3.61
Hg (0.1130, 0.2500, 0.6124)  4 S 2.57-2.83
Hg (0.8870, 0.7500, 0.3876)  4 S 2.57-2.83
Bi (0.3471, 0.7500, 0.8702)  3 S 2.59-2.83
Bi (0.6529, 0.2500, 0.1298)  3 S 2.59-2.83
S (0.1429, 0.2500, 0.8738)  1 Hg 2.58, 2 Bi 2.83
S (0.1959, 0.7500, 0.5044)  3 Hg 2.57-2.83
S (0.4344, 0.7500, 0.1341)  1 Bi 2.59
S (0.5656, 0.2500, 0.8659)  1 Bi 2.59
S (0.8041, 0.2500, 0.4956)  3 Hg 2.57-2.83
S (0.8571, 0.7500, 0.1262)  1 Hg 2.58, 2 Bi 2.83

E = -41.6 eV per cell
spin magnetization = 0.00 μB per formula unit
calculated volume = 381.3 Å³ per cell
E_form (uncorrected) = -0.541 eV per atom

Tm3AlAg3Se8 | PBE | optimized geometry

abc: 8.0012 8.0012 8.0233
angles: 119.38 119.38 60.72
With the nearest neighbours (Å) after each atom.
Fractional positions:
Tm (0.0000, 0.0000, 0.0000)  6 Se 2.80-2.86
Tm (0.0000, 0.5000, 0.5000)  6 Se 2.80-2.86
Tm (0.5000, 0.0000, 0.5000)  6 Se 2.80-2.86
Al (0.5000, 0.5000, 0.0000)  6 Se 2.62
Ag (0.0000, 0.5000, 0.0000)  6 Se 2.84-2.89
Ag (0.5000, 0.0000, 0.0000)  6 Se 2.84-2.89
Ag (0.5000, 0.5000, 0.5000)  6 Se 2.86-2.88
Se (0.2466, 0.2466, 0.2547)  3 Tm 2.80, 3 Ag 2.88-2.89
Se (0.2695, 0.2695, 0.7693)  1 Al 2.62, 2 Ag 2.86, 2 Tm 2.86
Se (0.2694, 0.7296, 0.2294)  1 Al 2.62, 2 Ag 2.84-2.86, 2 Tm 2.86
Se (0.2704, 0.7306, 0.7706)  1 Al 2.62, 2 Ag 2.84-2.86, 2 Tm 2.86
Se (0.7296, 0.2694, 0.2294)  1 Al 2.62, 2 Ag 2.84-2.86, 2 Tm 2.86
Se (0.7306, 0.2704, 0.7706)  1 Al 2.62, 2 Ag 2.84-2.86, 2 Tm 2.86
Se (0.7305, 0.7305, 0.2307)  1 Al 2.62, 2 Ag 2.86, 2 Tm 2.86
Se (0.7534, 0.7534, 0.7453)  3 Tm 2.80, 3 Ag 2.88-2.89

E = -68.9 eV per cell
spin magnetization = 0.00 μB per formula unit
calculated volume = 368.5 Å³ per cell
E_form (uncorrected) = -1.023 eV per atom

TlSiPb2 | PBE | optimized geometry

abc: 10.7806 10.7806 10.7806
angles: 18.74 18.74 18.74
With the nearest neighbours (Å) after each atom.
Fractional positions:
Tl (0.0000, 0.0000, 0.0000)  6 Tl 3.51, 6 Pb 3.67
Si (0.5000, 0.5000, 0.5000)  6 Pb 3.01
Pb (0.2369, 0.2369, 0.2369)  3 Si 3.01
Pb (0.7631, 0.7631, 0.7631)  3 Si 3.01

E = -14.2 eV per cell
spin magnetization = 0.00 μB per formula unit
calculated volume = 113.0 Å³ per cell
E_form (uncorrected) = 0.258 eV per atom

> Number 1 is which compound?

RbHgBiS3

Repeat the first record exactly.
RbHgBiS3 | PBE | optimized geometry

abc: 9.2418 4.2154 10.0544
angles: 90.00 103.24 90.00
With the nearest neighbours (Å) after each atom.
Fractional positions:
Rb (0.1802, 0.2500, 0.2267)  7 S 3.44-3.61
Rb (0.8198, 0.7500, 0.7733)  7 S 3.44-3.61
Hg (0.1130, 0.2500, 0.6124)  4 S 2.57-2.83
Hg (0.8870, 0.7500, 0.3876)  4 S 2.57-2.83
Bi (0.3471, 0.7500, 0.8702)  3 S 2.59-2.83
Bi (0.6529, 0.2500, 0.1298)  3 S 2.59-2.83
S (0.1429, 0.2500, 0.8738)  1 Hg 2.58, 2 Bi 2.83
S (0.1959, 0.7500, 0.5044)  3 Hg 2.57-2.83
S (0.4344, 0.7500, 0.1341)  1 Bi 2.59
S (0.5656, 0.2500, 0.8659)  1 Bi 2.59
S (0.8041, 0.2500, 0.4956)  3 Hg 2.57-2.83
S (0.8571, 0.7500, 0.1262)  1 Hg 2.58, 2 Bi 2.83

E = -41.6 eV per cell
spin magnetization = 0.00 μB per formula unit
calculated volume = 381.3 Å³ per cell
E_form (uncorrected) = -0.541 eV per atom